[1]
Below is a geometry-optimized PrNdAg2Sb4 structure, with properties calculated at the PBE level.

total magnetic moment	0.00	μB/f.u.
total DFT energy (no corrections)	-4.649	eV/atom
symmetry	P4mm

Structure (CIF):
```
data_PrNdAg2Sb4
_chemical_formula_sum 'Pr1 Nd1 Ag2 Sb4'
_cell_length_a 4.413
_cell_length_b 4.413
_cell_length_c 10.649
_cell_angle_alpha 90.00
_cell_angle_beta 90.00
_cell_angle_gamma 90.00
_space_group_name_H-M_alt 'P 1'
_space_group_IT_number 1
_space_group_name_Hall 'P 1'
loop_
_atom_site_label
_atom_site_fract_x
_atom_site_fract_y
_atom_site_fract_z
Pr1 0.000 0.000 0.000
Nd1 0.500 0.500 0.523
Ag1 0.000 0.500 0.262
Ag2 0.500 0.000 0.262
Sb1 0.000 0.000 0.439
Sb2 0.000 0.500 0.761
Sb3 0.500 0.000 0.761
Sb4 0.500 0.500 0.085
```

[2]
Below is a geometry-optimized BaErAuSe2S structure, with properties calculated at the PBE level.

total magnetic moment	0.01	μB/f.u.
total DFT energy (no corrections)	-4.999	eV/atom
symmetry	Cmcm

Structure (CIF):
```
data_BaErAuSe2S
_chemical_formula_sum 'Ba2 Er2 Au2 Se4 S2'
_cell_length_a 7.371
_cell_length_b 7.371
_cell_length_c 10.474
_cell_angle_alpha 90.00
_cell_angle_beta 90.00
_cell_angle_gamma 146.85
_space_group_name_H-M_alt 'P 1'
_space_group_IT_number 1
_space_group_name_Hall 'P 1'
loop_
_atom_site_label
_atom_site_fract_x
_atom_site_fract_y
_atom_site_fract_z
Ba1 0.243 0.757 0.750
Ba2 0.757 0.243 0.250
Er1 0.500 0.500 0.000
Er2 0.500 0.500 0.500
Au1 0.031 0.969 0.250
Au2 0.969 0.031 0.750
Se1 0.139 0.861 0.047
Se2 0.139 0.861 0.453
Se3 0.861 0.139 0.547
Se4 0.861 0.139 0.953
S1 0.427 0.573 0.250
S2 0.573 0.427 0.750
```

[3]
Below is a geometry-optimized TaInAgSe2S structure, with properties calculated at the PBE level.

total magnetic moment	0.03	μB/f.u.
total DFT energy (no corrections)	-5.104	eV/atom
symmetry	Cmcm

Structure (CIF):
```
data_TaInAgSe2S
_chemical_formula_sum 'Ta2 In2 Ag2 Se4 S2'
_cell_length_a 7.594
_cell_length_b 7.594
_cell_length_c 10.147
_cell_angle_alpha 90.00
_cell_angle_beta 90.00
_cell_angle_gamma 152.27
_space_group_name_H-M_alt 'P 1'
_space_group_IT_number 1
_space_group_name_Hall 'P 1'
loop_
_atom_site_label
_atom_site_fract_x
_atom_site_fract_y
_atom_site_fract_z
Ta1 0.000 0.000 0.000
Ta2 0.000 0.000 0.500
In1 0.275 0.725 0.750
In2 0.725 0.275 0.250
Ag1 0.436 0.564 0.250
Ag2 0.564 0.436 0.750
Se1 0.370 0.630 0.019
Se2 0.370 0.630 0.481
Se3 0.630 0.370 0.519
Se4 0.630 0.370 0.981
S1 0.059 0.941 0.250
S2 0.941 0.059 0.750
```

[4]
Below is a geometry-optimized ZrBeZnPt structure, with properties calculated at the PBE level.

total magnetic moment	0.00	μB/f.u.
total DFT energy (no corrections)	-5.372	eV/atom
ΔE to the lowest computed polymorph	6	meV/atom
symmetry	F-43m

Structure (CIF):
```
data_ZrBeZnPt
_chemical_formula_sum 'Zr4 Be4 Zn4 Pt4'
_cell_length_a 6.285
_cell_length_b 6.285
_cell_length_c 6.285
_cell_angle_alpha 90.00
_cell_angle_beta 90.00
_cell_angle_gamma 90.00
_space_group_name_H-M_alt 'P 1'
_space_group_IT_number 1
_space_group_name_Hall 'P 1'
loop_
_atom_site_label
_atom_site_fract_x
_atom_site_fract_y
_atom_site_fract_z
Zr1 0.000 0.000 0.000
Zr2 0.000 0.500 0.500
Zr3 0.500 0.000 0.500
Zr4 0.500 0.500 0.000
Be1 0.000 0.000 0.500
Be2 0.000 0.500 0.000
Be3 0.500 0.000 0.000
Be4 0.500 0.500 0.500
Zn1 0.250 0.250 0.750
Zn2 0.250 0.750 0.250
Zn3 0.750 0.250 0.250
Zn4 0.750 0.750 0.750
Pt1 0.250 0.250 0.250
Pt2 0.250 0.750 0.750
Pt3 0.750 0.250 0.750
Pt4 0.750 0.750 0.250
```

[5]
Below is a geometry-optimized NbMoN structure, with properties calculated at the PBE level.

total magnetic moment	0.00	μB/f.u.
total DFT energy (no corrections)	-9.695	eV/atom
symmetry	P-62m

Structure (CIF):
```
data_NbMoN
_chemical_formula_sum 'Nb3 Mo3 N3'
_cell_length_a 6.522
_cell_length_b 6.522
_cell_length_c 3.046
_cell_angle_alpha 90.00
_cell_angle_beta 90.00
_cell_angle_gamma 120.00
_space_group_name_H-M_alt 'P 1'
_space_group_IT_number 1
_space_group_name_Hall 'P 1'
loop_
_atom_site_label
_atom_site_fract_x
_atom_site_fract_y
_atom_site_fract_z
Nb1 0.000 0.418 0.000
Nb2 0.418 0.000 0.000
Nb3 0.582 0.582 0.000
Mo1 0.000 0.759 0.500
Mo2 0.241 0.241 0.500
Mo3 0.759 0.000 0.500
N1 0.000 0.000 0.000
N2 0.333 0.667 0.500
N3 0.667 0.333 0.500
```

[6]
Below is a geometry-optimized HfZrAg2Ge4 structure, with properties calculated at the PBE level.

total magnetic moment	0.00	μB/f.u.
total DFT energy (no corrections)	-5.667	eV/atom
symmetry	P4mm

Structure (CIF):
```
data_HfZrAg2Ge4
_chemical_formula_sum 'Hf1 Zr1 Ag2 Ge4'
_cell_length_a 3.897
_cell_length_b 3.897
_cell_length_c 9.589
_cell_angle_alpha 90.00
_cell_angle_beta 90.00
_cell_angle_gamma 90.00
_space_group_name_H-M_alt 'P 1'
_space_group_IT_number 1
_space_group_name_Hall 'P 1'
loop_
_atom_site_label
_atom_site_fract_x
_atom_site_fract_y
_atom_site_fract_z
Hf1 0.000 0.000 0.000
Zr1 0.500 0.500 0.448
Ag1 0.000 0.500 0.726
Ag2 0.500 0.000 0.726
Ge1 0.000 0.000 0.518
Ge2 0.000 0.500 0.223
Ge3 0.500 0.000 0.223
Ge4 0.500 0.500 0.934
```

[7]
Below is a geometry-optimized Nd2BO4 structure, with properties calculated at the PBE level.

total magnetic moment	0.00	μB/f.u.
total DFT energy (no corrections)	-7.590	eV/atom
symmetry	Fd-3m

Structure (CIF):
```
data_Nd2BO4
_chemical_formula_sum 'Nd4 B2 O8'
_cell_length_a 6.269
_cell_length_b 6.269
_cell_length_c 6.269
_cell_angle_alpha 60.00
_cell_angle_beta 60.00
_cell_angle_gamma 60.00
_space_group_name_H-M_alt 'P 1'
_space_group_IT_number 1
_space_group_name_Hall 'P 1'
loop_
_atom_site_label
_atom_site_fract_x
_atom_site_fract_y
_atom_site_fract_z
Nd1 0.000 0.000 0.000
Nd2 0.000 0.000 0.500
Nd3 0.000 0.500 0.000
Nd4 0.500 0.000 0.000
B1 0.375 0.375 0.375
B2 0.625 0.625 0.625
O1 0.274 0.274 0.274
O2 0.274 0.274 0.677
O3 0.274 0.677 0.274
O4 0.323 0.726 0.726
O5 0.677 0.274 0.274
O6 0.726 0.323 0.726
O7 0.726 0.726 0.323
O8 0.726 0.726 0.726
```

[8]
Below is a geometry-optimized ZnSbNO structure, with properties calculated at the PBE level.

total DFT energy (no corrections)	-5.175	eV/atom
ΔE to the lowest computed polymorph	11	meV/atom
symmetry	Pca2_1

Structure (CIF):
```
data_ZnSbNO
_chemical_formula_sum 'Zn4 Sb4 N4 O4'
_cell_length_a 5.612
_cell_length_b 8.507
_cell_length_c 5.224
_cell_angle_alpha 90.00
_cell_angle_beta 90.00
_cell_angle_gamma 90.00
_space_group_name_H-M_alt 'P 1'
_space_group_IT_number 1
_space_group_name_Hall 'P 1'
loop_
_atom_site_label
_atom_site_fract_x
_atom_site_fract_y
_atom_site_fract_z
Zn1 0.059 0.100 0.000
Zn2 0.441 0.100 0.500
Zn3 0.559 0.900 0.000
Zn4 0.941 0.900 0.500
Sb1 0.050 0.674 0.022
Sb2 0.450 0.674 0.522
Sb3 0.550 0.326 0.022
Sb4 0.950 0.326 0.522
N1 0.118 0.726 0.649
N2 0.382 0.726 0.149
N3 0.618 0.274 0.649
N4 0.882 0.274 0.149
O1 0.093 0.104 0.609
O2 0.407 0.104 0.109
O3 0.593 0.896 0.609
O4 0.907 0.896 0.109
```

[9]
Below is a geometry-optimized Dy2Y4LuNi2Te2 structure, with properties calculated at the PBE level.

total magnetic moment	0.02	μB/f.u.
total DFT energy (no corrections)	-5.848	eV/atom
ΔE to the lowest computed polymorph	3	meV/atom
symmetry	Imm2

Structure (CIF):
```
data_Dy2Y4LuNi2Te2
_chemical_formula_sum 'Dy2 Y4 Lu1 Ni2 Te2'
_cell_length_a 9.373
_cell_length_b 9.373
_cell_length_c 9.373
_cell_angle_alpha 156.33
_cell_angle_beta 67.06
_cell_angle_gamma 118.29
_space_group_name_H-M_alt 'P 1'
_space_group_IT_number 1
_space_group_name_Hall 'P 1'
loop_
_atom_site_label
_atom_site_fract_x
_atom_site_fract_y
_atom_site_fract_z
Dy1 0.146 0.000 0.146
Dy2 0.854 0.000 0.854
Y1 0.164 0.348 0.816
Y2 0.515 0.146 0.369
Y3 0.532 0.348 0.184
Y4 0.777 0.146 0.631
Lu1 0.228 0.728 0.500
Ni1 0.392 0.654 0.737
Ni2 0.917 0.654 0.263
Te1 0.491 0.491 0.000
Te2 0.893 0.393 0.500
```

[10]
Below is a geometry-optimized HfThSn structure, with properties calculated at the PBE level.

total magnetic moment	1.79	μB/f.u.
total DFT energy (no corrections)	-6.334	eV/atom
symmetry	F-43m

Structure (CIF):
```
data_HfThSn
_chemical_formula_sum 'Hf4 Th4 Sn4'
_cell_length_a 7.340
_cell_length_b 7.340
_cell_length_c 7.340
_cell_angle_alpha 90.00
_cell_angle_beta 90.00
_cell_angle_gamma 90.00
_space_group_name_H-M_alt 'P 1'
_space_group_IT_number 1
_space_group_name_Hall 'P 1'
loop_
_atom_site_label
_atom_site_fract_x
_atom_site_fract_y
_atom_site_fract_z
Hf1 0.000 0.000 0.000
Hf2 0.000 0.500 0.500
Hf3 0.500 0.000 0.500
Hf4 0.500 0.500 0.000
Th1 0.250 0.250 0.250
Th2 0.250 0.750 0.750
Th3 0.750 0.250 0.750
Th4 0.750 0.750 0.250
Sn1 0.000 0.000 0.500
Sn2 0.000 0.500 0.000
Sn3 0.500 0.000 0.000
Sn4 0.500 0.500 0.500
```

[11]
Below is a geometry-optimized SmHgNO structure, with properties calculated at the PBE level.

total magnetic moment	0.00	μB/f.u.
total DFT energy (no corrections)	-5.692	eV/atom
ΔE to the lowest computed polymorph	0	meV/atom
symmetry	Pca2_1

Structure (CIF):
```
data_SmHgNO
_chemical_formula_sum 'Sm4 Hg4 N4 O4'
_cell_length_a 6.663
_cell_length_b 7.569
_cell_length_c 6.394
_cell_angle_alpha 90.00
_cell_angle_beta 90.00
_cell_angle_gamma 90.00
_space_group_name_H-M_alt 'P 1'
_space_group_IT_number 1
_space_group_name_Hall 'P 1'
loop_
_atom_site_label
_atom_site_fract_x
_atom_site_fract_y
_atom_site_fract_z
Sm1 0.082 0.125 0.000
Sm2 0.418 0.125 0.500
Sm3 0.582 0.875 0.000
Sm4 0.918 0.875 0.500
Hg1 0.230 0.599 0.830
Hg2 0.270 0.599 0.330
Hg3 0.730 0.401 0.830
Hg4 0.770 0.401 0.330
N1 0.049 0.605 0.565
N2 0.451 0.605 0.065
N3 0.549 0.395 0.565
N4 0.951 0.395 0.065
O1 0.126 0.066 0.658
O2 0.374 0.066 0.158
O3 0.626 0.934 0.658
O4 0.874 0.934 0.158
```

[12]
Below is a geometry-optimized Gd2YCu4Ge4 structure, with properties calculated at the PBE level.

total magnetic moment	0.01	μB/f.u.
total DFT energy (no corrections)	-5.104	eV/atom
symmetry	Immm

Structure (CIF):
```
data_Gd2YCu4Ge4
_chemical_formula_sum 'Gd2 Y1 Cu4 Ge4'
_cell_length_a 8.047
_cell_length_b 8.047
_cell_length_c 8.047
_cell_angle_alpha 149.50
_cell_angle_beta 131.08
_cell_angle_gamma 58.75
_space_group_name_H-M_alt 'P 1'
_space_group_IT_number 1
_space_group_name_Hall 'P 1'
loop_
_atom_site_label
_atom_site_fract_x
_atom_site_fract_y
_atom_site_fract_z
Gd1 0.131 0.131 0.000
Gd2 0.869 0.869 0.000
Y1 0.500 0.000 0.500
Cu1 0.142 0.331 0.811
Cu2 0.479 0.669 0.811
Cu3 0.521 0.331 0.189
Cu4 0.858 0.669 0.189
Ge1 0.192 0.500 0.692
Ge2 0.284 0.784 0.500
Ge3 0.716 0.216 0.500
Ge4 0.808 0.500 0.308
```

Question: Which value of total DFT energy (no corrections) does entry 8 give?
Answer: -5.175 eV/atom